## P
RbGaTcSn2 | GGA-PBE | optimized geometry

As for the density of states at the Fermi level: 4.86 states/eV/cell. As for the density: 4.8 g/cm3. The space group is P4/mmm, No. 123.

abc: 5.358 5.358 5.876
angles: 90.00 90.00 90.00
Sites, in units of the cell vectors:
Rb 0.000 0.000 0.000
Ga 0.000 0.000 0.500
Tc 0.500 0.500 0.000
Sn 0.000 0.500 0.500
Sn 0.500 0.000 0.500

=====

## Q
RbGaTcSn2 | GGA-PBE | optimized geometry

As for the density of states at the Fermi level: 3.05 states/eV/cell. As for the density: 5.9 g/cm3. The space group is P4/mmm, No. 123.

abc: 5.250 5.250 5.015
angles: 90.00 90.00 90.00
Sites, in units of the cell vectors:
Rb 0.000 0.000 0.000
Ga 0.500 0.500 0.000
Tc 0.500 0.500 0.500
Sn 0.000 0.500 0.500
Sn 0.500 0.000 0.500

=====

In meV/atom, relative to the most stable structure: P 1219; Q 0.

=====

## P
RbSrGa2 | GGA-PBE | optimized geometry

As for the density of states at the Fermi level: 3.85 states/eV/cell. As for the density: 3.9 g/cm3. The space group is Fm-3m, No. 225.

abc: 5.728 5.728 5.728
angles: 60.00 60.00 60.00
Sites, in units of the cell vectors:
Rb 0.000 0.000 0.000
Sr 0.500 0.500 0.500
Ga 0.250 0.250 0.250
Ga 0.750 0.750 0.750

=====

## Q
RbSrGa2 | GGA-PBE | optimized geometry

As for the density of states at the Fermi level: 9.42 states/eV/cell. As for the density: 3.5 g/cm3. The space group is I-42d, No. 122.

abc: 7.405 7.405 7.405
angles: 103.19 103.19 122.94
Sites, in units of the cell vectors:
Rb 0.000 0.000 0.000
Rb 0.750 0.250 0.500
Sr 0.250 0.750 0.500
Sr 0.500 0.500 0.000
Ga 0.146 0.125 0.521
Ga 0.375 0.854 0.979
Ga 0.604 0.625 0.479
Ga 0.875 0.396 0.021

=====

In meV/atom, relative to the most stable structure: P 0; Q 220.

=====

## P
RbTaGa2 | GGA-PBE | optimized geometry

As for the density of states at the Fermi level: 3.97 states/eV/cell. As for the density: 7.4 g/cm3. The space group is Fm-3m, No. 225.

abc: 5.048 5.048 5.048
angles: 60.00 60.00 60.00
Sites, in units of the cell vectors:
Rb 0.000 0.000 0.000
Ta 0.500 0.500 0.500
Ga 0.250 0.250 0.250
Ga 0.750 0.750 0.750

=====

## Q
RbTaGa2 | GGA-PBE | optimized geometry

As for the density of states at the Fermi level: 6.24 states/eV/cell. As for the density: 4.5 g/cm3. The space group is I-42d, No. 122.

abc: 9.302 9.302 9.302
angles: 142.24 142.24 54.46
Sites, in units of the cell vectors:
Rb 0.000 0.000 0.000
Rb 0.750 0.250 0.500
Ta 0.250 0.750 0.500
Ta 0.500 0.500 0.000
Ga 0.325 0.625 0.200
Ga 0.375 0.575 0.700
Ga 0.425 0.125 0.800
Ga 0.875 0.675 0.300

=====

In meV/atom, relative to the most stable structure: P 165; Q 0.

=====

## P
RbTaGa3 | GGA-PBE | optimized geometry

As for the density of states at the Fermi level: 4.34 states/eV/cell. As for the density: 5.6 g/cm3. The space group is Pm-3m, No. 221.

abc: 5.204 5.204 5.204
angles: 90.00 90.00 90.00
Sites, in units of the cell vectors:
Rb 0.000 0.000 0.000
Ta 0.500 0.500 0.500
Ga 0.000 0.500 0.500
Ga 0.500 0.000 0.500
Ga 0.500 0.500 0.000

=====

## Q
RbTaGa3 | GGA-PBE | optimized geometry

As for the density of states at the Fermi level: 7.37 states/eV/cell. As for the density: 5.3 g/cm3. The space group is Pm-3m, No. 221.

abc: 5.295 5.295 5.295
angles: 90.00 90.00 90.00
Sites, in units of the cell vectors:
Rb 0.000 0.000 0.000
Ta 0.500 0.500 0.500
Ga 0.000 0.000 0.500
Ga 0.000 0.500 0.000
Ga 0.500 0.000 0.000

=====

In meV/atom, relative to the most stable structure: P 0; Q 1893.

=====

## P
RbTa3Ga | GGA-PBE | optimized geometry

As for the density of states at the Fermi level: 9.31 states/eV/cell. As for the density: 9.3 g/cm3. The space group is Pm-3m, No. 221.

abc: 4.992 4.992 4.992
angles: 90.00 90.00 90.00
Sites, in units of the cell vectors:
Rb 0.000 0.000 0.000
Ta 0.000 0.500 0.500
Ta 0.500 0.000 0.500
Ta 0.500 0.500 0.000
Ga 0.500 0.500 0.500

=====

## Q
RbTa3Ga | GGA-PBE | optimized geometry

As for the density of states at the Fermi level: 4.52 states/eV/cell. As for the density: 10.5 g/cm3. The space group is Pm-3m, No. 221.

abc: 4.803 4.803 4.803
angles: 90.00 90.00 90.00
Sites, in units of the cell vectors:
Rb 0.000 0.000 0.000
Ta 0.000 0.000 0.500
Ta 0.000 0.500 0.000
Ta 0.500 0.000 0.000
Ga 0.500 0.500 0.500

=====

In meV/atom, relative to the most stable structure: P 0; Q 1272.

=====

## P
RbGa2Tc | GGA-PBE | optimized geometry

As for the density of states at the Fermi level: 7.07 states/eV/cell. As for the density: 5.9 g/cm3. The space group is Fm-3m, No. 225.

abc: 5.038 5.038 5.038
angles: 60.00 60.00 60.00
Sites, in units of the cell vectors:
Rb 0.000 0.000 0.000
Ga 0.250 0.250 0.250
Ga 0.750 0.750 0.750
Tc 0.500 0.500 0.500

=====

## Q
RbGa2Tc | GGA-PBE | optimized geometry

As for the density of states at the Fermi level: 1.01 states/eV/cell. As for the density: 3.6 g/cm3. The space group is I4_1/amd, No. 141.

abc: 8.313 8.313 8.313
angles: 133.28 133.28 68.21
Sites, in units of the cell vectors:
Rb 0.375 0.625 0.750
Rb 0.625 0.375 0.250
Ga 0.000 0.000 0.000
Ga 0.000 0.000 0.500
Ga 0.000 0.500 0.000
Ga 0.500 0.000 0.500
Tc 0.125 0.875 0.250
Tc 0.875 0.125 0.750

=====

In meV/atom, relative to the most stable structure: P 483; Q 0.